Computed, not measured: a relaxed structure of Ba2AcCl8 at the PBE level of DFT.

Values from the calculation:
Calculated volume = 28.732 Å³/atom
Uncorrected formation energy = -2.150 eV per atom
Spin magnetization = 1.03 μB per formula unit

abc: 5.1471 8.0650 15.2274
angles: 90.00 90.00 90.00
Closest atoms and distances in Å follow each position.
Space group Immm (No. 71)
One atom of each set of equivalent atoms:
Ba: 0.0000 0.0000 0.1884 (multiplicity 4)  8 Cl 3.17-3.25
Ac: 0.0000 0.0000 0.5000 (multiplicity 2)  8 Cl 3.09-3.16
Cl: 0.0000 0.1660 0.0000 (multiplicity 4)  1 Cl 2.68
Cl: 0.0000 0.2614 0.3450 (multiplicity 8)  1 Ac 3.16, 3 Ba 3.18-3.25, 4 Cl 3.39-3.54
Cl: 0.0000 0.5000 0.1120 (multiplicity 4)  2 Ac 3.09, 7 Cl 3.19-3.41

---

Computed, not measured: a relaxed structure of SrPaCu10 at the PBE level of DFT.

Values from the calculation:
Calculated total energy = -4.3708 eV per atom
Calculated volume = 15.616 Å³/atom
Spin magnetization = 0.58 μB per formula unit

abc: 4.0631 5.2020 8.8658
angles: 90.00 90.00 90.00
Closest atoms and distances in Å follow each position.
Space group Pmmm (No. 47)
One atom of each set of equivalent atoms:
Sr: 0.0000 0.0000 0.0000 (multiplicity 1)  18 Cu 3.03-3.38
Pa: 0.0000 0.5000 0.5000 (multiplicity 1)  14 Cu 2.89-3.18
Cu: 0.0000 0.0000 0.3412 (multiplicity 2)  6 Cu 2.47-2.53
Cu: 0.0000 0.5000 0.1742 (multiplicity 2)  6 Cu 2.51-2.55
Cu: 0.5000 0.0000 0.5000 (multiplicity 1)  8 Cu 2.47-2.49
Cu: 0.5000 0.2596 0.2636 (multiplicity 4)  8 Cu 2.49-2.70
Cu: 0.5000 0.5000 0.0000 (multiplicity 1)  8 Cu 2.55-2.65

---

Computed, not measured: a relaxed structure of ScBeIrF2 at the PBE level of DFT.

Values from the calculation:
Calculated volume = 17.189 Å³/atom
Uncorrected formation energy = -1.210 eV per atom
Spin magnetization = 0.00 μB per formula unit

abc: 3.7369 3.7369 6.1546
angles: 90.00 90.00 90.00
Closest atoms and distances in Å follow each position.
Space group P4/mmm (No. 123)
One atom of each set of equivalent atoms:
Sc: 0.0000 0.0000 0.0000 (multiplicity 1)  4 F 1.87
Be: 0.0000 0.0000 0.5000 (multiplicity 1)  4 Ir 2.64
Ir: 0.5000 0.5000 0.5000 (multiplicity 1)  4 Be 2.64
F: 0.0000 0.5000 0.0000 (multiplicity 2)  2 Sc 1.87

---

Computed, not measured: a relaxed structure of Sr2ScGe at the PBE level of DFT.

Values from the calculation:
Calculated total energy = -3.5734 eV per atom
Calculated volume = 42.786 Å³/atom
Spin magnetization = 0.00 μB per formula unit

abc: 11.3827 11.3827 5.2836
angles: 90.00 90.00 90.00
Closest atoms and distances in Å follow each position.
Space group I-42d (No. 122)
One atom of each set of equivalent atoms:
Sr: 0.1017 0.2500 0.1250 (multiplicity 8)  2 Ge 3.14
Sc: 0.0000 0.0000 0.5000 (multiplicity 4)  2 Ge 2.64
Ge: 0.0000 0.0000 0.0000 (multiplicity 4)  2 Sc 2.64